## HfTi2ZnH (PBE)

Data for crystalline HfTi2ZnH at its relaxed geometry.

Summary:
- Crystal system: tetragonal
- Polymorph energy (0 for the lowest one): 0.0 kJ/mol of atoms

Lattice parameters (Å, degrees): 4.1049 4.1049 4.2396 90.00 90.00 90.00
Space group P4/mmm (No. 123)
One atom of each set of equivalent atoms:
Hf 0.0000 0.0000 0.0000
Ti 0.0000 0.5000 0.5000
Zn 0.5000 0.5000 0.0000
H 0.0000 0.0000 0.5000